## BiIr15 (PBE)

Data for a geometry-optimized BiIr15 structure.

abc: 7.707 2.765 35.769
angles: 90.00 90.00 90.00
Sites, in units of the cell vectors:
Ir: 0.375 0.750 0.866
Ir: 0.876 0.750 0.096
Ir: 0.122 0.250 0.751
Ir: 0.374 0.750 0.096
Ir: 0.371 0.750 0.249
Ir: 0.125 0.250 0.981
Ir: 0.375 0.750 0.942
Ir: 0.125 0.250 0.828
Ir: 0.625 0.250 0.058
Ir: 0.625 0.250 0.210
Ir: 0.875 0.750 0.791
Ir: 0.375 0.750 0.172
Bi: 0.625 0.250 0.297
Bi: 0.375 0.750 0.703
Ir: 0.875 0.750 0.943
Ir: 0.878 0.750 0.249
Ir: 0.625 0.250 0.134
Ir: 0.125 0.250 0.209
Ir: 0.875 0.750 0.019
Ir: 0.626 0.250 0.904
Ir: 0.125 0.250 0.283
Ir: 0.875 0.750 0.717
Ir: 0.125 0.250 0.057
Ir: 0.125 0.250 0.134
Ir: 0.629 0.250 0.751
Ir: 0.375 0.750 0.790
Ir: 0.875 0.750 0.172
Ir: 0.375 0.750 0.019
Ir: 0.625 0.250 0.981
Ir: 0.124 0.250 0.904
Ir: 0.625 0.250 0.828
Ir: 0.875 0.750 0.866

Calculated values
The calculation puts the volume at 23.82 Å³ per atom. The raw total energy comes out at -0.308 hartree per atom. For the energy relative to the lowest polymorph listed for this composition, the calculation gives 8.8 kJ/mol of atoms.